Model i:
This record from the Alexandria database describes a relaxed structure of Dy2TeAs. The functional is PBE. Values from VASP.

```
&SYSTEM
  ibrav = 0, nat = 4, ntyp = 3
/
ATOMIC_SPECIES
Dy 162.50 Dy.upf
Te 127.60 Te.upf
As 74.92 As.upf
ATOMIC_POSITIONS angstrom
Dy 0.007 -0.004 5.539
Dy 0.001 2.422 1.539
Te -2.094 1.209 3.540
As 4.196 -0.001 -0.002
CELL_PARAMETERS angstrom
4.196 -0.001 -0.002
-2.097 3.634 0.002
-2.090 -1.215 7.078
```

Output
volume = 27.0 Å³ per atom


Model ii:
This record from the Alexandria database describes a relaxed structure of Dy2TeAs. The functional is PBE. Values from VASP.

```
&SYSTEM
  ibrav = 0, nat = 4, ntyp = 3
/
ATOMIC_SPECIES
Dy 162.50 Dy.upf
Te 127.60 Te.upf
As 74.92 As.upf
ATOMIC_POSITIONS angstrom
Dy 2.071 1.196 5.736
Dy 2.071 1.196 1.584
Te 4.142 2.391 3.673
As 6.212 3.587 7.267
CELL_PARAMETERS angstrom
4.142 0.000 0.000
2.071 3.587 0.000
2.071 1.196 7.304
```

Output
volume = 27.1 Å³ per atom


Which structure above is the least stable one? model ii is the least stable one.